Li5Sn2S6 | PBE | relaxed

Values from the calculation:
As for the final energy: -4.094 eV/atom. As for the formation energy (no corrections): -837 meV/atom. The value obtained for the size of the total moment is 0.00 μB per formula unit. The space group is C2/c (15).

a b c (Å): 7.627 7.627 12.839
angles (deg): 90.16 90.16 49.71
Atoms (fractional coordinates):
Li  0.738  0.255  0.001
Li  0.745  0.262  0.499
Li  0.262  0.745  0.999
Li  0.255  0.738  0.501
Li  0.741  0.067  0.698
Li  0.933  0.259  0.802
Li  0.259  0.933  0.302
Li  0.067  0.741  0.198
Li  0.268  0.732  0.750
Li  0.732  0.268  0.250
Sn  0.289  0.196  0.583
Sn  0.804  0.711  0.917
Sn  0.711  0.804  0.417
Sn  0.196  0.289  0.083
S  0.057  0.079  0.631
S  0.921  0.943  0.869
S  0.943  0.921  0.369
S  0.079  0.057  0.131
S  0.407  0.426  0.624
S  0.574  0.593  0.876
S  0.593  0.574  0.376
S  0.426  0.407  0.124
S  0.689  0.812  0.612
S  0.188  0.311  0.888
S  0.311  0.188  0.388
S  0.812  0.689  0.112